No. 1
DFT (PBE) results for a geometry-optimized InPt2S structure.

formation energy without anion corrections = 0.114 eV per atom
electronic total energy = -4.62 eV per atom

Cell lengths 6.4930, 6.4930, 6.4930 Å; angles 90.00, 90.00, 90.00 degrees
Space group Fm-3m (No. 225)
Symmetry-distinct sites (fractional):
In1 0.0000 0.0000 0.0000
Pt1 0.2500 0.2500 0.2500
S1 0.0000 0.0000 0.5000



No. 2
DFT (PBE) results for a geometry-optimized HfMg2Sb2 structure.

formation energy without anion corrections = -0.193 eV per atom
electronic total energy = -4.47 eV per atom

Cell lengths 7.6193, 7.6193, 4.1450 Å; angles 90.00, 90.00, 90.00 degrees
Space group P4/mbm (No. 127)
Symmetry-distinct sites (fractional):
Hf1 0.0000 0.0000 0.0000
Mg1 0.1539 0.3461 0.5000
Sb1 0.1552 0.6552 0.0000



No. 3
DFT (PBE) results for a geometry-optimized CuSeS structure.

formation energy without anion corrections = -0.068 eV per atom
electronic total energy = -3.97 eV per atom
offset from the most stable computed form = 0 meV per atom

Cell lengths 3.6474, 5.4946, 7.1712 Å; angles 68.16, 75.64, 71.10 degrees
Space group P-1 (No. 2)
Symmetry-distinct sites (fractional):
Cu1 0.2078 0.3339 0.2454
Se1 0.1300 0.7915 0.9559
S1 0.3938 0.6667 0.5481